FeOsRu | GGA-PBEsol | relaxed

* formation energy: 146 meV/atom
* crystal system: tetragonal
* SG: No. 107
* VASP energy: -10.30 eV per atom
* volume: 75.0 Å³ per cell

Cell lengths 2.6329, 2.6329, 10.8251 Å; angles 90.00, 90.00, 90.00 degrees
Last column: nearest neighbours and their distance in Å.
Atoms (fractional coordinates):
Fe 0.0000 0.0000 0.0000  4 Os 2.54, 4 Ru 2.56, 4 Fe 2.63
Fe 0.5000 0.5000 0.5000  4 Os 2.54, 4 Ru 2.56, 4 Fe 2.63
Os 0.0000 0.0000 0.6594  4 Fe 2.54, 4 Os 2.63, 4 Ru 2.68
Os 0.5000 0.5000 0.1594  4 Fe 2.54, 4 Os 2.63, 4 Ru 2.68
Ru 0.0000 0.0000 0.3380  4 Fe 2.56, 4 Ru 2.63, 4 Os 2.68
Ru 0.5000 0.5000 0.8380  4 Fe 2.56, 4 Ru 2.63, 4 Os 2.68